Computed, not measured: CrCoMo2H after structural relaxation at the PBE level of DFT.

SG ... P4/mmm, No. 123
Distance to the lowest polymorph of the same formula ... 0 meV per atom
Volume ... 56.1 Å³ per cell

Cell lengths 4.002, 4.002, 3.500 Å; angles 90.00, 90.00, 90.00 degrees
Atoms (fractional coordinates):
Cr (0.000, 0.000, 0.000)
Co (0.500, 0.500, 0.000)
Mo (0.000, 0.500, 0.500)
Mo (0.500, 0.000, 0.500)
H (0.500, 0.500, 0.500)